1.
MgCd2As: optimized geometry, PBE.

a = 8.5073 Å, b = 8.5073 Å, c = 6.5894 Å
α = 49.79°, β = 49.79°, γ = 90.00°
Atoms (fractional coordinates):
As (0.0000, 0.0000, 0.0000)
As (0.7500, 0.2500, 0.5000)
Mg (0.5000, 0.5000, 0.0000)
Mg (0.2500, 0.7500, 0.5000)
Cd (0.6787, 0.1250, 0.2500)
Cd (0.0713, 0.6250, 0.2500)
Cd (0.3750, 0.3213, 0.7500)
Cd (0.8750, 0.9287, 0.7500)

Output
E ... -2.025 eV/atom
Formation enthalpy at 0 K ... -0.006 eV per atom
Space group ... No. 122



2.
MgCdAs: optimized geometry, PBE.

a = 4.2682 Å, b = 4.2682 Å, c = 4.4230 Å
α = 90.00°, β = 90.00°, γ = 120.00°
Atoms (fractional coordinates):
As (0.0000, 0.0000, 0.9713)
Cd (0.6667, 0.3333, 0.2960)
Mg (0.3333, 0.6667, 0.7327)

Output
E ... -2.511 eV/atom
Formation enthalpy at 0 K ... -0.124 eV per atom
Space group ... No. 156



3.
MgCd2As: optimized geometry, PBE.

a = 5.6485 Å, b = 3.1910 Å, c = 4.8646 Å
α = 92.56°, β = 90.00°, γ = 90.00°
Atoms (fractional coordinates):
As (0.5000, 0.7500, 0.7500)
Cd (0.0000, 0.9881, 0.0009)
Cd (0.0000, 0.5119, 0.4991)
Mg (0.5000, 0.2500, 0.2500)

Output
E ... -2.060 eV/atom
Formation enthalpy at 0 K ... -0.041 eV per atom
Space group ... No. 10



Spin magnetization for every record listed, in sequence, given in μB/cell: 0.00, 0.00, 0.00.